No. 1
3
Lattice="4.000 0.000 0.000 -2.000 3.464 0.000 0.000 0.000 3.870" Properties=species:S:1:pos:R:3 comment="CeBeOs PBE optimized geometry" magmom_total_mub_per_fu=0.00 formation_energy_ev_per_atom=-0.15 rho_kg_m3=10506 pbc="T T T"
Ce 0.000 0.000 0.000
Be 0.000 2.310 1.935
Os 2.000 1.155 1.935

=====

No. 2
10
Lattice="4.552 0.000 0.000 -2.276 3.942 0.000 0.000 0.000 7.957" Properties=species:S:1:pos:R:3 comment="CdHPd3 PBE optimized geometry" magmom_total_mub_per_fu=0.00 rho_kg_m3=10063 pbc="T T T"
Cd 0.000 2.628 1.989
Cd 2.276 1.314 5.968
H 0.000 0.000 0.000
H 0.000 0.000 3.979
Pd 0.000 0.000 1.989
Pd 0.000 0.000 5.968
Pd 0.000 2.628 4.616
Pd 0.000 2.628 7.320
Pd 2.276 1.314 0.638
Pd 2.276 1.314 3.341

=====

no.,ΔE to the lowest computed polymorph (eV per atom)
1,0.037
2,0.290